# 1
## NpOsC2 (PBE)

Data for a geometry-optimized NpOsC2 structure.

```
NpOsC2
1.0
-0.404 3.084 -1.345
-3.115 1.238 -0.495
-1.106 3.374 3.798
Os C Np
1 2 1
direct
0.000 0.000 0.000
0.737 0.737 0.789
0.263 0.263 0.211
0.500 0.500 0.500
```

calculated formation energy: 1.00 eV/f.u.
space group: R-3m
E: -10.40 eV/atom
crystal system: trigonal

# 2
## NpPa2OsC4 (PBE)

Data for a geometry-optimized NpPa2OsC4 structure.

```
NpPa2OsC4
1.0
-3.080 -1.545 -0.383
4.089 -4.494 0.944
-1.838 0.776 11.652
Np C Os Pa
2 8 2 4
direct
0.891 0.782 0.250
0.109 0.218 0.750
0.000 0.000 0.000
0.456 0.912 0.750
0.727 0.453 0.868
0.727 0.453 0.632
0.000 0.000 0.500
0.273 0.547 0.132
0.544 0.088 0.250
0.273 0.547 0.368
0.147 0.294 0.250
0.853 0.706 0.750
0.367 0.734 0.547
0.633 0.266 0.047
0.367 0.734 0.953
0.633 0.266 0.453
```

calculated formation energy: -0.27 eV/f.u.
space group: Cmcm
E: -10.04 eV/atom
crystal system: orthorhombic

# 3
## NpSiOsC (PBE)

Data for a geometry-optimized NpSiOsC structure.

```
NpSiOsC
1.0
-1.243 1.162 -3.474
-3.475 0.786 1.507
2.506 7.799 1.712
Si Np C Os
2 2 2 2
direct
0.500 0.000 0.667
0.000 0.500 0.333
0.500 0.000 0.155
0.000 0.500 0.845
0.000 0.500 0.113
0.500 0.000 0.887
0.000 0.000 0.500
0.500 0.500 0.500
```

space group: P4/nmm
E: -9.81 eV/atom
crystal system: tetragonal
raw formation energy: -107 meV/atom

# 4
## Th2NpOsC4 (PBE)

Data for a geometry-optimized Th2NpOsC4 structure.

```
Th2NpOsC4
1.0
3.550 0.000 0.000
-1.775 6.009 0.000
0.000 0.000 12.524
C Os Np Th
8 2 2 4
direct
0.276 0.553 0.143
0.000 0.000 0.500
0.276 0.553 0.357
0.724 0.447 0.643
0.571 0.142 0.250
0.000 0.000 0.000
0.724 0.447 0.857
0.429 0.858 0.750
0.154 0.307 0.250
0.846 0.693 0.750
0.890 0.780 0.250
0.110 0.220 0.750
0.635 0.270 0.041
0.365 0.730 0.959
0.635 0.270 0.459
0.365 0.730 0.541
```

calculated formation energy: 1.30 eV/f.u.
space group: Cmcm
E: -9.33 eV/atom
crystal system: orthorhombic

# 5
## Np2PC (PBE)

Data for a geometry-optimized Np2PC structure.

```
Np2PC
1.0
3.725 0.000 0.000
1.863 3.226 0.000
1.863 1.075 6.132
C P Np
1 1 2
direct
0.000 0.000 0.000
0.500 0.500 0.500
0.738 0.738 0.787
0.262 0.262 0.213
```

calculated formation energy: -1.20 eV/f.u.
space group: R-3m
E: -10.43 eV/atom
crystal system: trigonal

# 6
## NpPRu2C (PBE)

Data for a geometry-optimized NpPRu2C structure.

```
NpPRu2C
1.0
3.795 0.000 0.000
-1.897 5.566 0.000
0.000 0.000 6.991
P Ru Np C
2 4 2 2
direct
0.271 0.543 0.250
0.729 0.457 0.750
0.832 0.665 0.053
0.168 0.335 0.947
0.168 0.335 0.553
0.832 0.665 0.447
0.456 0.912 0.750
0.544 0.088 0.250
0.000 0.000 0.000
0.000 0.000 0.500
```

calculated formation energy: -1.93 eV/f.u.
space group: Cmcm
E: -9.61 eV/atom
crystal system: orthorhombic

Taking the records one at a time from the top gives total magnetic moment values of 1.3, 5.5, 6.9, 7.0, 6.5, 7.5 Bohr magnetons per cell.